# 1
The following is a PBE calculation of an optimized crystal structure of KCa2Zr, from Alexandria via LeMat-Bulk.

Values from the calculation:
* excess energy over the best structure of this formula in the dataset: 0 meV/atom
* energy: -12.34 eV/cell
* total moment: 0.00 μB/cell

abc: 3.646 3.648 11.665
angles: 90.00 90.17 90.00
Space group P2/m (No. 10)
One atom of each set of equivalent atoms:
K: 0.000 0.000 0.000 x1
Ca: 0.498 0.500 0.306 x2
Zr: 0.000 0.000 0.500 x1

# 2
The following is a PBE calculation of an optimized crystal structure of KCaZr2, from Alexandria via LeMat-Bulk.

Values from the calculation:
* excess energy over the best structure of this formula in the dataset: 489 meV/atom
* energy: -16.91 eV/cell
* total moment: 0.30 μB/cell

abc: 3.176 5.774 6.645
angles: 90.00 90.00 90.00
Space group Pmmm (No. 47)
One atom of each set of equivalent atoms:
K: 0.000 0.000 0.000 x1
Ca: 0.000 0.000 0.500 x1
Zr: 0.500 0.500 0.277 x2

# 3
The following is a PBE calculation of an optimized crystal structure of KCaZr, from Alexandria via LeMat-Bulk.

Values from the calculation:
* excess energy over the best structure of this formula in the dataset: 0 meV/atom
* energy: -9.94 eV/cell
* total moment: 0.35 μB/cell

abc: 3.4893 3.4893 10.0573
angles: 90.00 90.00 120.00
Space group P3m1 (No. 156)
One atom of each set of equivalent atoms:
K: 0.0000 0.0000 0.0000 x1
Ca: 0.3333 0.6667 0.6118 x1
Zr: 0.6667 0.3333 0.3401 x1

# 4
The following is a PBE calculation of an optimized crystal structure of KCaZr, from Alexandria via LeMat-Bulk.

Values from the calculation:
* excess energy over the best structure of this formula in the dataset: 775 meV/atom
* energy: -30.47 eV/cell
* total moment: 15.91 μB/cell

abc: 8.384 8.384 8.384
angles: 90.00 90.00 90.00
Space group F-43m (No. 216)
One atom of each set of equivalent atoms:
K: 0.000 0.000 0.000 x4
Ca: 0.000 0.000 0.500 x4
Zr: 0.250 0.250 0.250 x4

# 5
The following is a PBE calculation of an optimized crystal structure of KCa3Zr, from Alexandria via LeMat-Bulk.

Values from the calculation:
* excess energy over the best structure of this formula in the dataset: 568 meV/atom
* energy: -9.33 eV/cell
* total moment: 0.96 μB/cell

abc: 5.718 5.718 5.718
angles: 90.00 90.00 90.00
Space group Pm-3m (No. 221)
One atom of each set of equivalent atoms:
K: 0.000 0.000 0.000 x1
Ca: 0.000 0.000 0.500 x3
Zr: 0.500 0.500 0.500 x1

# 6
The following is a PBE calculation of an optimized crystal structure of KCa2Zr, from Alexandria via LeMat-Bulk.

Values from the calculation:
* excess energy over the best structure of this formula in the dataset: 246 meV/atom
* energy: -11.36 eV/cell
* total moment: 2.32 μB/cell

abc: 6.328 6.328 3.670
angles: 90.00 90.00 90.00
Space group P4/mmm (No. 123)
One atom of each set of equivalent atoms:
K: 0.000 0.000 0.000 x1
Ca: 0.000 0.500 0.500 x2
Zr: 0.500 0.500 0.000 x1

# 7
The following is a PBE calculation of an optimized crystal structure of KCaZr2, from Alexandria via LeMat-Bulk.

Values from the calculation:
* excess energy over the best structure of this formula in the dataset: 809 meV/atom
* energy: -62.51 eV/cell
* total moment: 0.00 μB/cell

abc: 7.882 7.882 7.882
angles: 90.00 90.00 90.00
Space group Fm-3m (No. 225)
One atom of each set of equivalent atoms:
K: 0.000 0.000 0.000 x4
Ca: 0.000 0.000 0.500 x4
Zr: 0.250 0.250 0.250 x8

# 8
The following is a PBE calculation of an optimized crystal structure of K2CaZr, from Alexandria via LeMat-Bulk.

Values from the calculation:
* excess energy over the best structure of this formula in the dataset: 168 meV/atom
* energy: -20.00 eV/cell
* total moment: 0.78 μB/cell

abc: 3.644 6.030 14.354
angles: 90.00 90.00 90.00
Space group Cmmm (No. 65)
One atom of each set of equivalent atoms:
K: 0.000 0.000 0.234 x4
Ca: 0.000 0.500 0.500 x2
Zr: 0.000 0.500 0.000 x2

# 9
The following is a PBE calculation of an optimized crystal structure of KCa2Zr, from Alexandria via LeMat-Bulk.

Values from the calculation:
* excess energy over the best structure of this formula in the dataset: 238 meV/atom
* energy: -22.78 eV/cell
* total moment: 4.78 μB/cell

abc: 12.660 3.546 6.745
angles: 90.00 97.34 90.00
Space group Cm (No. 8)
One atom of each set of equivalent atoms:
K: 0.000 0.000 0.000 x2
Ca: 0.014 0.500 0.530 x2
Ca: 0.257 0.500 0.250 x2
Zr: 0.249 0.000 0.702 x2

# 10
The following is a PBE calculation of an optimized crystal structure of K2CaZr, from Alexandria via LeMat-Bulk.

Values from the calculation:
* excess energy over the best structure of this formula in the dataset: 356 meV/atom
* energy: -37.01 eV/cell
* total moment: 15.20 μB/cell

abc: 8.856 8.856 8.856
angles: 90.00 90.00 90.00
Space group F-43m (No. 216)
One atom of each set of equivalent atoms:
K: 0.000 0.000 0.000 x4
K: 0.250 0.250 0.250 x4
Ca: 0.250 0.250 0.750 x4
Zr: 0.000 0.000 0.500 x4

# 11
The following is a PBE calculation of an optimized crystal structure of KCaZr2, from Alexandria via LeMat-Bulk.

Values from the calculation:
* excess energy over the best structure of this formula in the dataset: 93 meV/atom
* energy: -18.49 eV/cell
* total moment: 0.00 μB/cell

abc: 3.472 4.075 9.900
angles: 90.00 90.15 90.00
Space group Pm (No. 6)
One atom of each set of equivalent atoms:
K: 0.000 0.000 0.000 x1
Ca: 0.501 0.500 0.646 x1
Zr: 0.498 0.500 0.292 x1
Zr: 0.999 0.000 0.427 x1

# 12
The following is a PBE calculation of an optimized crystal structure of KCaZr2, from Alexandria via LeMat-Bulk.

Values from the calculation:
* excess energy over the best structure of this formula in the dataset: 356 meV/atom
* energy: -34.88 eV/cell
* total moment: 0.00 μB/cell

abc: 3.235 6.552 12.345
angles: 90.00 90.00 90.00
Space group Imm2 (No. 44)
One atom of each set of equivalent atoms:
K: 0.000 0.000 0.000 x2
Ca: 0.000 0.500 0.779 x2
Zr: 0.000 0.000 0.539 x2
Zr: 0.000 0.500 0.230 x2

no.,calculated formation energy (eV/atom)
1,0.326
2,0.823
3,0.568
4,1.343
5,1.264
6,0.573
7,1.142
8,0.686
9,0.565
10,0.873
11,0.426
12,0.689